# 1
Material: Ca2CuCl5
Method: DFT, PBE-GGA
State: optimized geometry Values from VASP.

## Properties
Formation energy without anion corrections ... -14.7 eV per formula unit
Density of states at the Fermi level ... 0.00 states/eV/cell
DFT total energy ... -64.0 eV for the cell shown
Space group ... C2/c, No. 15

Geometry as Quantum ESPRESSO input:
```
&SYSTEM
  ibrav = 0, nat = 16, ntyp = 3
/
ATOMIC_SPECIES
Ca 40.08 Ca.upf
Cu 63.55 Cu.upf
Cl 35.45 Cl.upf
CELL_PARAMETERS angstrom
-3.082 -2.791 -6.178
-1.271 -6.432 3.530
-10.010 -1.680 1.237
ATOMIC_POSITIONS crystal
Ca 0.500 0.000 0.000
Ca 0.500 0.500 0.000
Ca 0.500 0.500 0.500
Ca 0.000 0.500 0.500
Cu 0.873 0.127 0.250
Cu 0.127 0.873 0.750
Cl 0.623 0.377 0.750
Cl 0.377 0.623 0.250
Cl 0.305 0.799 0.903
Cl 0.803 0.790 0.394
Cl 0.799 0.305 0.403
Cl 0.210 0.197 0.106
Cl 0.790 0.803 0.894
Cl 0.197 0.210 0.606
Cl 0.201 0.695 0.597
Cl 0.695 0.201 0.097
```

***

# 2
Material: CaCu2Cl
Method: DFT, PBE-GGA
State: optimized geometry Values from VASP.

## Properties
Formation energy without anion corrections ... -1.1 eV per formula unit
Density of states at the Fermi level ... 3.05 states/eV/cell
DFT total energy ... -26.3 eV for the cell shown
Space group ... I-42d, No. 122
Offset from the most stable computed form ... 30.31 kJ per mole of atoms

Geometry as Quantum ESPRESSO input:
```
&SYSTEM
  ibrav = 0, nat = 8, ntyp = 3
/
ATOMIC_SPECIES
Ca 40.08 Ca.upf
Cu 63.55 Cu.upf
Cl 35.45 Cl.upf
CELL_PARAMETERS angstrom
-7.243 -3.789 -1.153
0.287 -2.899 7.724
-4.702 -1.256 4.115
ATOMIC_POSITIONS crystal
Ca 0.000 0.000 0.000
Ca 0.750 0.250 0.500
Cu 0.600 0.125 0.250
Cu 0.150 0.625 0.250
Cu 0.375 0.400 0.750
Cu 0.875 0.850 0.750
Cl 0.500 0.500 0.000
Cl 0.250 0.750 0.500
```

***

# 3
Material: CaCu3Cl
Method: DFT, PBE-GGA
State: optimized geometry Values from VASP.

## Properties
Formation energy without anion corrections ... 2.6 eV per formula unit
Density of states at the Fermi level ... 4.14 states/eV/cell
DFT total energy ... -13.5 eV for the cell shown
Space group ... Pm-3m, No. 221
Offset from the most stable computed form ... 0.00 kJ per mole of atoms

Geometry as Quantum ESPRESSO input:
```
&SYSTEM
  ibrav = 0, nat = 5, ntyp = 3
/
ATOMIC_SPECIES
Ca 40.08 Ca.upf
Cu 63.55 Cu.upf
Cl 35.45 Cl.upf
CELL_PARAMETERS angstrom
4.708 0.000 0.000
0.000 4.708 0.000
0.000 0.000 4.708
ATOMIC_POSITIONS crystal
Ca 0.500 0.500 0.500
Cu 0.000 0.500 0.000
Cu 0.000 0.000 0.500
Cu 0.500 0.000 0.000
Cl 0.000 0.000 0.000
```

***

# 4
Material: CaCu2Cl
Method: DFT, PBE-GGA
State: optimized geometry Values from VASP.

## Properties
Formation energy without anion corrections ... -1.7 eV per formula unit
Density of states at the Fermi level ... 1.09 states/eV/cell
DFT total energy ... -13.8 eV for the cell shown
Space group ... Immm, No. 71
Offset from the most stable computed form ... 14.43 kJ per mole of atoms

Geometry as Quantum ESPRESSO input:
```
&SYSTEM
  ibrav = 0, nat = 4, ntyp = 3
/
ATOMIC_SPECIES
Ca 40.08 Ca.upf
Cu 63.55 Cu.upf
Cl 35.45 Cl.upf
CELL_PARAMETERS angstrom
-3.245 3.217 -4.292
-2.183 -1.802 -5.594
0.453 -1.493 6.072
ATOMIC_POSITIONS crystal
Ca 0.250 0.750 0.500
Cu 0.000 0.000 0.000
Cu 0.500 0.500 0.000
Cl 0.750 0.250 0.500
```

***

# 5
Material: Ca3CuCl
Method: DFT, PBE-GGA
State: optimized geometry Values from VASP.

## Properties
Formation energy without anion corrections ... -1.7 eV per formula unit
Density of states at the Fermi level ... 2.61 states/eV/cell
DFT total energy ... -13.7 eV for the cell shown
Space group ... Pm-3m, No. 221
Offset from the most stable computed form ... 0.00 kJ per mole of atoms

Geometry as Quantum ESPRESSO input:
```
&SYSTEM
  ibrav = 0, nat = 5, ntyp = 3
/
ATOMIC_SPECIES
Ca 40.08 Ca.upf
Cu 63.55 Cu.upf
Cl 35.45 Cl.upf
CELL_PARAMETERS angstrom
-1.548 -5.265 -1.045
5.136 -1.137 -1.880
1.559 -1.482 5.156
ATOMIC_POSITIONS crystal
Ca 0.000 0.500 0.000
Ca 0.000 0.000 0.500
Ca 0.500 0.000 0.000
Cu 0.000 0.000 0.000
Cl 0.500 0.500 0.500
```

***

# 6
Material: CaCu5Cl12
Method: DFT, PBE-GGA
State: optimized geometry Values from VASP.

## Properties
Formation energy without anion corrections ... -13.7 eV per formula unit
Density of states at the Fermi level ... 2.31 states/eV/cell
DFT total energy ... -58.3 eV for the cell shown
Space group ... P-1, No. 2

Geometry as Quantum ESPRESSO input:
```
&SYSTEM
  ibrav = 0, nat = 18, ntyp = 3
/
ATOMIC_SPECIES
Ca 40.08 Ca.upf
Cu 63.55 Cu.upf
Cl 35.45 Cl.upf
CELL_PARAMETERS angstrom
-1.243 1.506 -6.179
-5.786 -1.129 -3.393
-6.543 11.876 -0.105
ATOMIC_POSITIONS crystal
Ca 0.000 0.000 0.000
Cu 0.500 0.000 0.500
Cu 0.167 0.666 0.500
Cu 0.833 0.334 0.500
Cu 0.682 0.671 0.007
Cu 0.318 0.329 0.993
Cl 0.874 0.970 0.393
Cl 0.126 0.030 0.607
Cl 0.678 0.013 0.895
Cl 0.322 0.987 0.105
Cl 0.368 0.626 0.883
Cl 0.004 0.598 0.114
Cl 0.996 0.402 0.886
Cl 0.632 0.374 0.117
Cl 0.460 0.362 0.606
Cl 0.793 0.696 0.606
Cl 0.207 0.304 0.394
Cl 0.540 0.638 0.394
```

***

# 7
Material: CaCu2Cl
Method: DFT, PBE-GGA
State: optimized geometry Values from VASP.

## Properties
Formation energy without anion corrections ... -1.7 eV per formula unit
Density of states at the Fermi level ... 0.72 states/eV/cell
DFT total energy ... -13.8 eV for the cell shown
Space group ... P4/mmm, No. 123
Offset from the most stable computed form ... 14.97 kJ per mole of atoms

Geometry as Quantum ESPRESSO input:
```
&SYSTEM
  ibrav = 0, nat = 4, ntyp = 3
/
ATOMIC_SPECIES
Ca 40.08 Ca.upf
Cu 63.55 Cu.upf
Cl 35.45 Cl.upf
CELL_PARAMETERS angstrom
3.599 1.047 0.000
-1.046 3.599 0.000
0.000 0.000 5.665
ATOMIC_POSITIONS crystal
Ca 0.500 0.000 0.500
Cu 0.000 0.000 0.000
Cu 0.500 0.500 0.000
Cl 0.000 0.500 0.500
```

***

# 8
Material: CaCuCl3
Method: DFT, PBE-GGA
State: optimized geometry Values from VASP.

## Properties
Formation energy without anion corrections ... -5.2 eV per formula unit
Density of states at the Fermi level ... 0.00 states/eV/cell
DFT total energy ... -16.8 eV for the cell shown
Space group ... Pm-3m, No. 221
Offset from the most stable computed form ... 53.85 kJ per mole of atoms

Geometry as Quantum ESPRESSO input:
```
&SYSTEM
  ibrav = 0, nat = 5, ntyp = 3
/
ATOMIC_SPECIES
Ca 40.08 Ca.upf
Cu 63.55 Cu.upf
Cl 35.45 Cl.upf
CELL_PARAMETERS angstrom
-2.468 -0.163 4.684
0.176 -5.294 -0.091
4.684 0.113 2.472
ATOMIC_POSITIONS crystal
Ca 0.000 0.000 0.000
Cu 0.500 0.500 0.500
Cl 0.000 0.500 0.000
Cl 0.000 0.000 0.500
Cl 0.500 0.000 0.000
```

***

# 9
Material: CaCu2Cl
Method: DFT, PBE-GGA
State: optimized geometry Values from VASP.

## Properties
Formation energy without anion corrections ... -0.8 eV per formula unit
Density of states at the Fermi level ... 3.39 states/eV/cell
DFT total energy ... -12.8 eV for the cell shown
Space group ... I-4m2, No. 119
Offset from the most stable computed form ... 37.34 kJ per mole of atoms

Geometry as Quantum ESPRESSO input:
```
&SYSTEM
  ibrav = 0, nat = 4, ntyp = 3
/
ATOMIC_SPECIES
Ca 40.08 Ca.upf
Cu 63.55 Cu.upf
Cl 35.45 Cl.upf
CELL_PARAMETERS angstrom
4.794 -0.080 0.000
0.068 4.794 0.000
-2.431 -2.357 3.395
ATOMIC_POSITIONS crystal
Ca 0.500 0.500 0.000
Cu 0.000 0.000 0.000
Cu 0.250 0.750 0.500
Cl 0.750 0.250 0.500
```

***

# 10
Material: CaCu4Cl
Method: DFT, PBE-GGA
State: optimized geometry Values from VASP.

## Properties
Formation energy without anion corrections ... -0.6 eV per formula unit
Density of states at the Fermi level ... 2.56 states/eV/cell
DFT total energy ... -20.8 eV for the cell shown
Space group ... F-43m, No. 216

Geometry as Quantum ESPRESSO input:
```
&SYSTEM
  ibrav = 0, nat = 6, ntyp = 3
/
ATOMIC_SPECIES
Ca 40.08 Ca.upf
Cu 63.55 Cu.upf
Cl 35.45 Cl.upf
CELL_PARAMETERS angstrom
0.000 3.670 3.670
3.670 0.000 3.670
3.670 3.670 0.000
ATOMIC_POSITIONS crystal
Ca 0.750 0.750 0.750
Cu 0.877 0.374 0.374
Cu 0.374 0.374 0.877
Cu 0.374 0.877 0.374
Cu 0.374 0.374 0.374
Cl 0.000 0.000 0.000
```

***

# 11
Material: Ca4CuCl
Method: DFT, PBE-GGA
State: optimized geometry Values from VASP.

## Properties
Formation energy without anion corrections ... 1.8 eV per formula unit
Density of states at the Fermi level ... 7.40 states/eV/cell
DFT total energy ... -12.1 eV for the cell shown
Space group ... F-43m, No. 216

Geometry as Quantum ESPRESSO input:
```
&SYSTEM
  ibrav = 0, nat = 6, ntyp = 3
/
ATOMIC_SPECIES
Ca 40.08 Ca.upf
Cu 63.55 Cu.upf
Cl 35.45 Cl.upf
CELL_PARAMETERS angstrom
0.000 4.865 4.865
4.865 0.000 4.865
4.865 4.865 0.000
ATOMIC_POSITIONS crystal
Ca 0.878 0.374 0.374
Ca 0.374 0.374 0.878
Ca 0.374 0.878 0.374
Ca 0.374 0.374 0.374
Cu 0.000 0.000 0.000
Cl 0.750 0.750 0.750
```

***

# 12
Material: CaCuCl3
Method: DFT, PBE-GGA
State: optimized geometry Values from VASP.

## Properties
Formation energy without anion corrections ... -8.0 eV per formula unit
Density of states at the Fermi level ... 0.00 states/eV/cell
DFT total energy ... -78.4 eV for the cell shown
Space group ... C2/c, No. 15
Offset from the most stable computed form ... 0.00 kJ per mole of atoms

Geometry as Quantum ESPRESSO input:
```
&SYSTEM
  ibrav = 0, nat = 20, ntyp = 3
/
ATOMIC_SPECIES
Ca 40.08 Ca.upf
Cu 63.55 Cu.upf
Cl 35.45 Cl.upf
CELL_PARAMETERS angstrom
-3.189 -3.056 5.383
6.337 -5.896 1.994
3.779 4.721 6.506
ATOMIC_POSITIONS crystal
Ca 0.750 0.268 0.732
Ca 0.250 0.088 0.912
Ca 0.750 0.912 0.088
Ca 0.250 0.732 0.268
Cu 0.784 0.479 0.313
Cu 0.284 0.313 0.479
Cu 0.716 0.687 0.521
Cu 0.216 0.521 0.687
Cl 0.614 0.297 0.452
Cl 0.625 0.981 0.802
Cl 0.114 0.452 0.297
Cl 0.886 0.548 0.703
Cl 0.880 0.865 0.372
Cl 0.125 0.802 0.981
Cl 0.386 0.703 0.548
Cl 0.875 0.198 0.019
Cl 0.375 0.019 0.198
Cl 0.380 0.372 0.865
Cl 0.120 0.135 0.628
Cl 0.620 0.628 0.135
```